Below is a relaxed TlSbIr2 crystal, with properties calculated at the GGA-PBEsol level.

Its crystal system is orthorhombic. As for the space group: No. 44. The total energy is -25.4 eV for the cell shown. The value obtained for the uncorrected formation energy is 355 meV/atom. For the energy above the lowest structure with this stoichiometry, the calculation gives 0.000 eV per atom.

Cell: 3.0073 3.7739 7.2091 Å, 105.17 102.04 90.00°
Last column: nearest neighbours and their distance in Å.
Element x y z (fractional)
1 Ir 0.7998 0.2998 0.5996  2 Sb 2.62, 4 Tl 2.77
2 Ir 0.0435 0.0435 0.0870  4 Sb 2.68, 2 Tl 2.84
3 Sb 0.4574 0.4574 0.9148  6 Ir 2.62-2.68
4 Tl 0.1993 0.6993 0.3986  6 Ir 2.77-2.84, 2 Tl 3.01